(1)
Compound: Hf2TiAl5Pd2
Source: Alexandria via LeMat-Bulk
Functional: PBE-GGA
Structure: optimized geometry

a = 9.139 Å, b = 9.139 Å, c = 4.087 Å
α = 90.00°, β = 90.00°, γ = 90.00°
Element x y z (fractional)
Hf 0.180 0.320 0.000
Hf 0.320 0.820 0.000
Hf 0.680 0.180 0.000
Hf 0.820 0.680 0.000
Ti 0.000 0.000 0.000
Ti 0.500 0.500 0.000
Al 0.000 0.500 0.500
Al 0.057 0.795 0.500
Al 0.205 0.057 0.500
Al 0.295 0.557 0.500
Al 0.443 0.295 0.500
Al 0.500 0.000 0.500
Al 0.557 0.705 0.500
Al 0.705 0.443 0.500
Al 0.795 0.943 0.500
Al 0.943 0.205 0.500
Pd 0.118 0.618 0.000
Pd 0.382 0.118 0.000
Pd 0.618 0.882 0.000
Pd 0.882 0.382 0.000

Computed properties:
Space-group type: P4/mbm, No. 127
Calculated formation energy, meV per atom: -562
VASP energy, eV per cell: -125.0

=====

(2)
Compound: Hf3Ti2Al3Pd
Source: Alexandria via LeMat-Bulk
Functional: PBE-GGA
Structure: optimized geometry

a = 6.979 Å, b = 6.979 Å, c = 3.890 Å
α = 90.00°, β = 90.00°, γ = 120.00°
Element x y z (fractional)
Hf 0.000 0.407 0.000
Hf 0.407 0.000 0.000
Hf 0.593 0.593 0.000
Ti 0.333 0.667 0.500
Ti 0.667 0.333 0.500
Al 0.000 0.753 0.500
Al 0.247 0.247 0.500
Al 0.753 0.000 0.500
Pd 0.000 0.000 0.000

Computed properties:
Space-group type: P-62m, No. 189
Calculated formation energy, meV per atom: -304
VASP energy, eV per cell: -64.8

=====

(3)
Compound: Tm2HfAl2Pd5
Source: Alexandria via LeMat-Bulk
Functional: PBE-GGA
Structure: optimized geometry

a = 10.039 Å, b = 10.039 Å, c = 3.618 Å
α = 90.00°, β = 90.00°, γ = 90.00°
Element x y z (fractional)
Tm 0.175 0.325 0.000
Tm 0.325 0.825 0.000
Tm 0.675 0.175 0.000
Tm 0.825 0.675 0.000
Hf 0.000 0.000 0.000
Hf 0.500 0.500 0.000
Al 0.123 0.623 0.000
Al 0.377 0.123 0.000
Al 0.623 0.877 0.000
Al 0.877 0.377 0.000
Pd 0.000 0.500 0.500
Pd 0.060 0.794 0.500
Pd 0.206 0.060 0.500
Pd 0.294 0.560 0.500
Pd 0.440 0.294 0.500
Pd 0.500 0.000 0.500
Pd 0.560 0.706 0.500
Pd 0.706 0.440 0.500
Pd 0.794 0.940 0.500
Pd 0.940 0.206 0.500

Computed properties:
Space-group type: P4/mbm, No. 127
Calculated formation energy, meV per atom: -841
VASP energy, eV per cell: -121.5

=====

(4)
Compound: TmHfAlPd
Source: Alexandria via LeMat-Bulk
Functional: PBE-GGA
Structure: optimized geometry

a = 4.863 Å, b = 4.863 Å, c = 4.863 Å
α = 60.00°, β = 60.00°, γ = 60.00°
Element x y z (fractional)
Tm 0.000 0.000 0.000
Hf 0.500 0.500 0.500
Al 0.750 0.750 0.750
Pd 0.250 0.250 0.250

Computed properties:
Space-group type: F-43m, No. 216
Calculated formation energy, meV per atom: -434
VASP energy, eV per cell: -25.1

=====

(5)
Compound: Y2HfAl2Pd5
Source: Alexandria via LeMat-Bulk
Functional: PBE-GGA
Structure: optimized geometry

a = 10.127 Å, b = 10.127 Å, c = 3.621 Å
α = 90.00°, β = 90.00°, γ = 90.00°
Element x y z (fractional)
Y 0.176 0.324 0.000
Y 0.324 0.824 0.000
Y 0.676 0.176 0.000
Y 0.824 0.676 0.000
Hf 0.000 0.000 0.000
Hf 0.500 0.500 0.000
Al 0.122 0.622 0.000
Al 0.378 0.122 0.000
Al 0.622 0.878 0.000
Al 0.878 0.378 0.000
Pd 0.000 0.500 0.500
Pd 0.059 0.794 0.500
Pd 0.206 0.059 0.500
Pd 0.294 0.559 0.500
Pd 0.441 0.294 0.500
Pd 0.500 0.000 0.500
Pd 0.559 0.706 0.500
Pd 0.706 0.441 0.500
Pd 0.794 0.941 0.500
Pd 0.941 0.206 0.500

Computed properties:
Space-group type: P4/mbm, No. 127
Calculated formation energy, meV per atom: -833
VASP energy, eV per cell: -129.3

=====

(6)
Compound: Hf3Al3ZnPd2
Source: Alexandria via LeMat-Bulk
Functional: PBE-GGA
Structure: optimized geometry

a = 6.999 Å, b = 6.999 Å, c = 3.725 Å
α = 90.00°, β = 90.00°, γ = 120.00°
Element x y z (fractional)
Hf 0.000 0.597 0.000
Hf 0.403 0.403 0.000
Hf 0.597 0.000 0.000
Al 0.000 0.253 0.500
Al 0.253 0.000 0.500
Al 0.747 0.747 0.500
Zn 0.000 0.000 0.000
Pd 0.333 0.667 0.500
Pd 0.667 0.333 0.500

Computed properties:
Space-group type: P-62m, No. 189
Calculated formation energy, meV per atom: -538
VASP energy, eV per cell: -57.6

=====

(7)
Compound: PmHfAl2
Source: Alexandria via LeMat-Bulk
Functional: PBE-GGA
Structure: optimized geometry

a = 4.981 Å, b = 4.981 Å, c = 4.981 Å
α = 60.00°, β = 60.00°, γ = 60.00°
Element x y z (fractional)
Pm 0.000 0.000 0.000
Hf 0.500 0.500 0.500
Al 0.250 0.250 0.250
Al 0.750 0.750 0.750

Computed properties:
Space-group type: Fm-3m, No. 225
Relative energy among the computed polymorphs, eV per atom: 0.0829
Calculated formation energy, meV per atom: -194
VASP energy, eV per cell: -23.0

=====

(8)
Compound: PmHfAl2
Source: Alexandria via LeMat-Bulk
Functional: PBE-GGA
Structure: optimized geometry

a = 4.538 Å, b = 4.538 Å, c = 4.227 Å
α = 90.00°, β = 90.00°, γ = 90.00°
Element x y z (fractional)
Pm 0.000 0.000 0.000
Hf 0.500 0.500 0.000
Al 0.000 0.500 0.500
Al 0.500 0.000 0.500

Computed properties:
Space-group type: P4/mmm, No. 123
Relative energy among the computed polymorphs, eV per atom: 0.0733
Calculated formation energy, meV per atom: -203
VASP energy, eV per cell: -23.0